1.
Cr2Tc PBE-GGA relaxed; energy above the most stable polymorph in this dataset = 0 meV/atom; electronic total energy = -9.847 eV per atom; size of the total moment = 0.000 μB per atom; formation energy = 24.1 meV per atom
1.0
-2.8935 0.3196 0.2544
-0.4079 -2.3592 -1.6755
1.6843 -1.5545 4.3270
Cr Tc
2 1
Direct
0.6746 0.6746 0.3491
0.3254 0.3254 0.6509
0.0000 0.0000 0.0000

***

2.
KTlHg5 PBE-GGA relaxed; electronic total energy = -0.823 eV per atom; size of the total moment = 0.000 μB per atom; formation energy = -112.7 meV per atom
1.0
-1.4603 1.5046 4.0282
0.1154 -4.2389 1.6252
10.3068 1.4985 3.1768
K Tl Hg
1 1 5
Direct
0.0000 0.0000 0.5000
0.5000 0.5000 0.0000
0.0000 0.5000 0.2487
0.0000 0.5000 0.7513
0.5000 0.0000 0.2487
0.5000 0.0000 0.7513
0.0000 0.0000 0.0000

***

3.
Cd2SiRu4 PBE-GGA relaxed; electronic total energy = -5.589 eV per atom; size of the total moment = 0.148 μB per atom
1.0
-0.6577 -0.2206 -4.3026
-2.1673 -3.7447 0.5233
-7.2847 1.5164 -1.1714
Ru Si Cd
4 1 2
Direct
0.8390 0.8390 0.3221
0.1610 0.1610 0.6779
0.0000 0.5000 0.0000
0.5000 0.0000 0.0000
0.0000 0.0000 0.0000
0.6394 0.6394 0.7212
0.3606 0.3606 0.2788

***

> What is the formula in the first record?

Cr2Tc

***

> What is the formula in the second record?

KTlHg5